Density functional theory data (PBE+U) for a relaxed structure of CaMn8O13F3.

Unit cell a=5.994 b=6.625 c=7.536 alpha=92.15 beta=101.79 gamma=92.06
Positions (direct):
O1 0.853 0.108 0.723
O2 0.147 0.879 0.284
O3 0.895 0.579 0.167
O4 0.396 0.082 0.605
O5 0.343 0.680 0.611
O6 0.800 0.670 0.637
O7 0.582 0.413 0.865
O8 0.109 0.421 0.834
O9 0.200 0.334 0.376
O10 0.437 0.576 0.130
O11 0.401 0.168 0.105
O12 0.873 0.149 0.097
O13 0.590 0.833 0.906
Mn1 0.382 0.121 0.351
Mn2 0.788 0.398 0.685
Mn3 0.661 0.364 0.122
Mn4 0.599 0.876 0.664
Mn5 0.115 0.159 0.932
Mn6 0.360 0.613 0.870
Mn7 0.219 0.591 0.302
Mn8 0.844 0.860 0.116
Ca1 0.049 0.907 0.562
F1 0.143 0.850 0.898
F2 0.690 0.330 0.402
F3 0.644 0.919 0.388

Computed properties:
theoretical density	4227	kg/m3
E_tot	-173.1	eV/f.u.